Entry from Alexandria via LeMat-Bulk: Y8Ho5In after structural relaxation (PBE).

Cell: 8.499 8.499 8.499 Å, 103.90 121.30 103.90°
Atoms (fractional coordinates):
Y: 0.760 0.339 0.421
Y: 0.458 0.916 0.958
Y: 0.458 0.500 0.542
Y: 0.579 0.661 0.240
Y: 0.042 0.084 0.542
Y: 0.579 0.339 0.918
Y: 0.042 0.500 0.958
Y: 0.082 0.661 0.421
Ho: 0.898 0.808 0.090
Ho: 0.282 0.192 0.090
Ho: 0.500 0.000 0.500
Ho: 0.910 0.808 0.718
Ho: 0.910 0.192 0.102
In: 0.250 0.500 0.750

Uncorrected energy: -5.402 eV/atom
Calculated volume: 32.66 Å³/atom